1.
Below is a geometry-optimized Nd8Hg3Sb2 structure, with properties calculated at the GGA-PBE level.

a b c (Å): 15.457 8.629 6.443
angles (deg): 90.00 90.78 90.00
Space group C2/m (No. 12)
Asymmetric unit:
Nd (0.091, 0.000, 0.359) [4 per cell]
Nd (0.120, 0.211, 0.861) [8 per cell]
Nd (0.181, 0.500, 0.395) [4 per cell]
Hg (0.000, 0.326, 0.500) [4 per cell]
Hg (0.000, 0.500, 0.000) [2 per cell]
Sb (0.239, 0.500, 0.908) [4 per cell]

Summary:
Total energy (eV/atom): -4.0515
ΔE_f (raw) (meV/atom): -414
Theoretical density (Mg/m³): 7.73

=====

2.
Below is a geometry-optimized Nd2HgSb4 structure, with properties calculated at the GGA-PBE level.

a b c (Å): 4.435 4.435 10.462
angles (deg): 90.00 90.00 90.00
Space group P-4m2 (No. 115)
Asymmetric unit:
Nd (0.000, 0.500, 0.240) [2 per cell]
Hg (0.000, 0.000, 0.500) [1 per cell]
Sb (0.000, 0.000, 0.000) [1 per cell]
Sb (0.000, 0.500, 0.678) [2 per cell]
Sb (0.500, 0.500, 0.000) [1 per cell]

Summary:
Total energy (eV/atom): -4.4359
ΔE_f (raw) (meV/atom): -675
Theoretical density (Mg/m³): 7.88

=====

3.
Below is a geometry-optimized Nd6HgSb2 structure, with properties calculated at the GGA-PBE level.

a b c (Å): 4.250 15.089 8.714
angles (deg): 90.00 90.00 90.00
Space group Amm2 (No. 38)
Asymmetric unit:
Nd (0.000, 0.000, 0.000) [2 per cell]
Nd (0.000, 0.132, 0.602) [4 per cell]
Nd (0.500, 0.000, 0.325) [2 per cell]
Nd (0.500, 0.205, 0.939) [4 per cell]
Hg (0.500, 0.000, 0.735) [2 per cell]
Sb (0.000, 0.167, 0.235) [4 per cell]

Summary:
Total energy (eV/atom): -4.7583
ΔE_f (raw) (meV/atom): -630
Theoretical density (Mg/m³): 7.78

=====

4.
Below is a geometry-optimized Nd4Hg2Sb structure, with properties calculated at the GGA-PBE level.

a b c (Å): 5.3229 5.3229 27.0566
angles (deg): 90.00 90.00 120.00
Space group R-3m (No. 166, hexagonal axes)
Asymmetric unit:
Nd (0.0000, 0.0000, 0.1231) [6 per cell]
Nd (0.0000, 0.0000, 0.3748) [6 per cell]
Hg (0.0000, 0.0000, 0.2594) [6 per cell]
Sb (0.0000, 0.0000, 0.5000) [3 per cell]

Summary:
Total energy (eV/atom): -3.8347
ΔE_f (raw) (meV/atom): -435
Theoretical density (Mg/m³): 8.25

=====

5.
Below is a geometry-optimized Nd4Hg3Sb structure, with properties calculated at the GGA-PBE level.

a b c (Å): 7.624 7.629 15.645
angles (deg): 90.00 90.00 90.00
Space group Fmmm (No. 69)
Asymmetric unit:
Nd (0.250, 0.250, 0.124) [16 per cell]
Hg (0.000, 0.000, 0.000) [4 per cell]
Hg (0.000, 0.000, 0.243) [8 per cell]
Sb (0.000, 0.000, 0.500) [4 per cell]

Summary:
Total energy (eV/atom): -3.6135
ΔE_f (raw) (meV/atom): -601
Theoretical density (Mg/m³): 9.49

=====

6.
Below is a geometry-optimized Nd5HgSb2 structure, with properties calculated at the GGA-PBE level.

a b c (Å): 5.644 10.090 17.701
angles (deg): 90.00 90.00 90.00
Space group Cmcm (No. 63)
Asymmetric unit:
Nd (0.000, 0.089, 0.081) [8 per cell]
Nd (0.000, 0.285, 0.750) [4 per cell]
Nd (0.000, 0.406, 0.101) [8 per cell]
Hg (0.000, 0.032, 0.250) [4 per cell]
Sb (0.000, 0.259, 0.572) [8 per cell]

Summary:
Total energy (eV/atom): -4.5816
ΔE_f (raw) (meV/atom): -533
Theoretical density (Mg/m³): 7.68